No. 1
NaHf2Tl2 | PBE-GGA | relaxed

calculated formation energy = 19.7 kJ per mole of atoms
E above lowest polymorph = 0 meV per atom
Fermi-level density of states = 0.800 states/eV/atom

a b c (Å): 8.919 8.919 3.156
angles (deg): 90.00 90.00 90.00
Sites, in units of the cell vectors:
1 Na 0.000 0.000 0.000
2 Na 0.500 0.500 0.000
3 Hf 0.123 0.377 0.500
4 Hf 0.377 0.877 0.500
5 Hf 0.623 0.123 0.500
6 Hf 0.877 0.623 0.500
7 Tl 0.174 0.674 0.000
8 Tl 0.326 0.174 0.000
9 Tl 0.674 0.826 0.000
10 Tl 0.826 0.326 0.000


No. 2
HfTi2V | PBE-GGA | relaxed

calculated formation energy = 18.2 kJ per mole of atoms
E above lowest polymorph = 113 meV per atom
Fermi-level density of states = 1.270 states/eV/atom

a b c (Å): 9.298 9.298 9.298
angles (deg): 18.62 18.62 18.62
Sites, in units of the cell vectors:
1 Hf 0.000 0.000 0.000
2 Ti 0.242 0.242 0.242
3 Ti 0.426 0.426 0.426
4 V 0.834 0.834 0.834


No. 3
Pa5PSe5 | PBE-GGA | relaxed

uncorrected formation energy = -1.3148 eV per atom
Fermi-level density of states = 1.452 states/eV/atom

a b c (Å): 6.957 6.957 8.028
angles (deg): 106.90 106.90 48.19
Sites, in units of the cell vectors:
1 Pa 0.000 0.000 0.000
2 Pa 0.335 0.335 0.158
3 Pa 0.339 0.339 0.678
4 Pa 0.661 0.661 0.322
5 Pa 0.665 0.665 0.842
6 P 0.500 0.500 0.000
7 Se 0.156 0.156 0.812
8 Se 0.164 0.164 0.342
9 Se 0.500 0.500 0.500
10 Se 0.836 0.836 0.658
11 Se 0.844 0.844 0.188


No. 4
TmPaTlGa | PBE-GGA | relaxed

calculated formation energy = -6.2 kJ per mole of atoms
Fermi-level density of states = 2.002 states/eV/atom

a b c (Å): 5.199 5.199 5.199
angles (deg): 60.00 60.00 60.00
Sites, in units of the cell vectors:
1 Tm 0.000 0.000 0.000
2 Pa 0.500 0.500 0.500
3 Tl 0.250 0.250 0.250
4 Ga 0.750 0.750 0.750


No. 5
LiZnCo2 | PBE-GGA | relaxed

calculated formation energy = 4.8 kJ per mole of atoms
Fermi-level density of states = 0.711 states/eV/atom

a b c (Å): 4.381 4.381 4.551
angles (deg): 97.60 97.60 33.47
Sites, in units of the cell vectors:
1 Li 0.000 0.000 0.000
2 Zn 0.244 0.244 0.775
3 Co 0.499 0.499 0.480
4 Co 0.759 0.759 0.290


No. 6
Ba2TlW | PBE-GGA | relaxed

calculated formation energy = 76.2 kJ per mole of atoms
E above lowest polymorph = 49 meV per atom
Fermi-level density of states = 0.925 states/eV/atom

a b c (Å): 6.684 6.684 6.159
angles (deg): 106.43 106.43 29.04
Sites, in units of the cell vectors:
1 Ba 0.000 0.000 0.000
2 Ba 0.184 0.184 0.625
3 Tl 0.419 0.419 0.448
4 W 0.754 0.754 0.156


No. 7
LiBr3 | PBE-GGA | relaxed

uncorrected formation energy = -0.7301 eV per atom
E above lowest polymorph = 0 meV per atom
Fermi-level density of states = 0.000 states/eV/atom

a b c (Å): 8.190 8.190 8.190
angles (deg): 29.83 29.83 29.83
Sites, in units of the cell vectors:
1 Li 0.000 0.000 0.000
2 Br 0.391 0.391 0.391
3 Br 0.500 0.500 0.500
4 Br 0.609 0.609 0.609


No. 8
Zn3TeP2Pb3O14 | PBE-GGA | relaxed

uncorrected formation energy = -1.6609 eV per atom
Fermi-level density of states = 0.000 states/eV/atom

a b c (Å): 8.524 8.524 5.263
angles (deg): 90.00 90.00 120.00
Sites, in units of the cell vectors:
1 Zn 0.000 0.750 0.000
2 Zn 0.250 0.250 0.000
3 Zn 0.750 0.000 0.000
4 Te 0.000 0.000 0.500
5 P 0.333 0.667 0.950
6 P 0.667 0.333 0.050
7 Pb 0.000 0.405 0.500
8 Pb 0.405 0.000 0.500
9 Pb 0.595 0.595 0.500
10 O 0.092 0.216 0.288
11 O 0.125 0.908 0.288
12 O 0.197 0.720 0.835
13 O 0.216 0.092 0.712
14 O 0.280 0.476 0.835
15 O 0.333 0.667 0.242
16 O 0.476 0.280 0.165
17 O 0.524 0.803 0.835
18 O 0.667 0.333 0.758
19 O 0.720 0.197 0.165
20 O 0.784 0.875 0.288
21 O 0.803 0.524 0.165
22 O 0.875 0.784 0.712
23 O 0.908 0.125 0.712


No. 9
Dy6NiIr5 | PBE-GGA | relaxed

calculated formation energy = -73.5 kJ per mole of atoms
Fermi-level density of states = 0.350 states/eV/atom

a b c (Å): 7.543 7.543 7.050
angles (deg): 90.00 90.00 143.15
Sites, in units of the cell vectors:
1 Dy 0.000 0.000 0.250
2 Dy 0.000 0.000 0.750
3 Dy 0.333 0.667 0.249
4 Dy 0.333 0.667 0.751
5 Dy 0.667 0.333 0.249
6 Dy 0.667 0.333 0.751
7 Ni 0.500 0.500 0.000
8 Ir 0.164 0.836 0.000
9 Ir 0.167 0.833 0.500
10 Ir 0.500 0.500 0.500
11 Ir 0.833 0.167 0.500
12 Ir 0.836 0.164 0.000


No. 10
Al2HgP2 | PBE-GGA | relaxed

calculated formation energy = -22.1 kJ per mole of atoms
E above lowest polymorph = 0 meV per atom
Fermi-level density of states = 0.000 states/eV/atom

a b c (Å): 8.870 8.870 8.870
angles (deg): 154.30 154.30 36.66
Sites, in units of the cell vectors:
1 Al 0.250 0.750 0.500
2 Al 0.750 0.250 0.500
3 Hg 0.000 0.000 0.000
4 P 0.334 0.334 0.000
5 P 0.666 0.666 0.000


No. 11
Tm12Ag3O5 | PBE-GGA | relaxed

uncorrected formation energy = -1.4938 eV per atom
Fermi-level density of states = 0.738 states/eV/atom

a b c (Å): 13.121 13.121 13.121
angles (deg): 109.47 109.47 109.47
Sites, in units of the cell vectors:
1 Tm 0.013 0.201 0.109
2 Tm 0.013 0.312 0.904
3 Tm 0.091 0.701 0.688
4 Tm 0.091 0.891 0.404
5 Tm 0.096 0.609 0.409
6 Tm 0.096 0.987 0.688
7 Tm 0.109 0.013 0.201
8 Tm 0.109 0.596 0.909
9 Tm 0.188 0.201 0.591
10 Tm 0.188 0.487 0.596
11 Tm 0.201 0.109 0.013
12 Tm 0.201 0.591 0.188
13 Tm 0.299 0.312 0.909
14 Tm 0.299 0.487 0.391
15 Tm 0.312 0.904 0.013
16 Tm 0.312 0.909 0.299
17 Tm 0.391 0.299 0.487
18 Tm 0.391 0.591 0.904
19 Tm 0.404 0.091 0.891
20 Tm 0.404 0.812 0.513
21 Tm 0.409 0.096 0.609
22 Tm 0.409 0.812 0.799
23 Tm 0.487 0.391 0.299
24 Tm 0.487 0.596 0.188
25 Tm 0.513 0.404 0.812
26 Tm 0.513 0.609 0.701
27 Tm 0.591 0.188 0.201
28 Tm 0.591 0.904 0.391
29 Tm 0.596 0.188 0.487
30 Tm 0.596 0.909 0.109
31 Tm 0.609 0.409 0.096
32 Tm 0.609 0.701 0.513
33 Tm 0.688 0.091 0.701
34 Tm 0.688 0.096 0.987
35 Tm 0.701 0.513 0.609
36 Tm 0.701 0.688 0.091
37 Tm 0.799 0.409 0.812
38 Tm 0.799 0.891 0.987
39 Tm 0.812 0.513 0.404
40 Tm 0.812 0.799 0.409
41 Tm 0.891 0.404 0.091
42 Tm 0.891 0.987 0.799
43 Tm 0.904 0.013 0.312
44 Tm 0.904 0.391 0.591
45 Tm 0.909 0.109 0.596
46 Tm 0.909 0.299 0.312
47 Tm 0.987 0.688 0.096
48 Tm 0.987 0.799 0.891
49 Ag 0.125 0.250 0.375
50 Ag 0.125 0.375 0.750
51 Ag 0.250 0.375 0.125
52 Ag 0.250 0.875 0.625
53 Ag 0.375 0.125 0.250
54 Ag 0.375 0.750 0.125
55 Ag 0.625 0.250 0.875
56 Ag 0.625 0.875 0.750
57 Ag 0.750 0.125 0.375
58 Ag 0.750 0.625 0.875
59 Ag 0.875 0.625 0.250
60 Ag 0.875 0.750 0.625
61 O 0.000 0.000 0.000
62 O 0.000 0.000 0.500
63 O 0.000 0.500 0.000
64 O 0.000 0.500 0.500
65 O 0.125 0.750 0.875
66 O 0.125 0.875 0.250
67 O 0.250 0.125 0.875
68 O 0.250 0.625 0.375
69 O 0.375 0.250 0.625
70 O 0.375 0.625 0.750
71 O 0.500 0.000 0.000
72 O 0.500 0.000 0.500
73 O 0.500 0.500 0.000
74 O 0.500 0.500 0.500
75 O 0.625 0.375 0.250
76 O 0.625 0.750 0.375
77 O 0.750 0.375 0.625
78 O 0.750 0.875 0.125
79 O 0.875 0.125 0.750
80 O 0.875 0.250 0.125


No. 12
Ce2PrDyBi4 | PBE-GGA | relaxed

calculated formation energy = -81.7 kJ per mole of atoms
Fermi-level density of states = 1.908 states/eV/atom

a b c (Å): 7.934 4.582 7.937
angles (deg): 90.00 109.47 90.00
Sites, in units of the cell vectors:
1 Ce 0.000 0.000 0.000
2 Ce 0.000 0.500 0.500
3 Pr 0.500 0.000 0.500
4 Dy 0.500 0.500 0.000
5 Bi 0.249 0.500 0.245
6 Bi 0.253 0.000 0.756
7 Bi 0.747 0.000 0.244
8 Bi 0.751 0.500 0.755